(1)
LiOsO4: relaxed, GGA-PBE.

Cell lengths 5.542, 9.859, 11.167 Å; angles 114.74, 100.13, 95.96 degrees
Space group P1 (No. 1)
Asymmetric unit:
Li 0.000 0.000 0.000 (multiplicity 1)
Li 0.005 0.727 0.714 (multiplicity 1)
Li 0.074 0.276 0.269 (multiplicity 1)
Li 0.268 0.992 0.251 (multiplicity 1)
Li 0.568 0.511 0.003 (multiplicity 1)
Li 0.654 0.790 0.274 (multiplicity 1)
Li 0.770 0.501 0.286 (multiplicity 1)
Li 0.886 0.286 0.986 (multiplicity 1)
Os 0.176 0.621 0.216 (multiplicity 1)
Os 0.176 0.902 0.502 (multiplicity 1)
Os 0.212 0.167 0.771 (multiplicity 1)
Os 0.440 0.622 0.498 (multiplicity 1)
Os 0.479 0.165 0.054 (multiplicity 1)
Os 0.499 0.893 0.773 (multiplicity 1)
Os 0.671 0.340 0.487 (multiplicity 1)
Os 0.961 0.440 0.781 (multiplicity 1)
O 0.087 0.425 0.181 (multiplicity 1)
O 0.112 0.628 0.838 (multiplicity 1)
O 0.114 0.671 0.413 (multiplicity 1)
O 0.157 0.168 0.937 (multiplicity 1)
O 0.160 0.933 0.692 (multiplicity 1)
O 0.276 0.382 0.833 (multiplicity 1)
O 0.276 0.852 0.335 (multiplicity 1)
O 0.308 0.142 0.166 (multiplicity 1)
O 0.324 0.682 0.663 (multiplicity 1)
O 0.344 0.640 0.102 (multiplicity 1)
O 0.346 0.112 0.614 (multiplicity 1)
O 0.364 0.408 0.435 (multiplicity 1)
O 0.393 0.940 0.934 (multiplicity 1)
O 0.500 0.156 0.417 (multiplicity 1)
O 0.503 0.854 0.579 (multiplicity 1)
O 0.504 0.622 0.335 (multiplicity 1)
O 0.550 0.121 0.858 (multiplicity 1)
O 0.571 0.363 0.092 (multiplicity 1)
O 0.634 0.410 0.676 (multiplicity 1)
O 0.697 0.954 0.211 (multiplicity 1)
O 0.746 0.581 0.562 (multiplicity 1)
O 0.762 0.798 0.051 (multiplicity 1)
O 0.801 0.147 0.090 (multiplicity 1)
O 0.804 0.347 0.353 (multiplicity 1)
O 0.809 0.871 0.815 (multiplicity 1)
O 0.835 0.439 0.919 (multiplicity 1)
O 0.856 0.643 0.181 (multiplicity 1)
O 0.866 0.912 0.457 (multiplicity 1)
O 0.904 0.199 0.714 (multiplicity 1)
O 0.919 0.037 0.263 (multiplicity 1)
O 0.995 0.363 0.590 (multiplicity 1)
O 0.996 0.849 0.075 (multiplicity 1)

Results
E = -6.590 eV per atom

***

(2)
Li6Os2O7: relaxed, GGA-PBE.

Cell lengths 4.976, 5.004, 5.923 Å; angles 89.53, 72.79, 81.58 degrees
Space group P-1 (No. 2)
Asymmetric unit:
Li 0.196 0.363 0.322 (multiplicity 2)
Li 0.215 0.376 0.825 (multiplicity 2)
Li 0.223 0.923 0.565 (multiplicity 2)
Os 0.284 0.877 0.059 (multiplicity 2)
O 0.010 0.772 0.885 (multiplicity 2)
O 0.037 0.740 0.356 (multiplicity 2)
O 0.496 0.002 0.731 (multiplicity 2)
O 0.500 0.500 0.000 (multiplicity 1)

Results
E = -6.103 eV per atom

***

(3)
LiOsO3: relaxed, GGA-PBE.

Cell lengths 5.3163, 5.3163, 13.7358 Å; angles 90.00, 90.00, 120.00 degrees
Space group R-3c (No. 167, hexagonal axes)
Asymmetric unit:
Li 0.0000 0.0000 0.0000 (multiplicity 6)
Os 0.0000 0.0000 0.2500 (multiplicity 6)
O 0.9995 0.3333 0.0833 (multiplicity 18)

Results
E = -6.591 eV per atom

***

(4)
Li6Os4O11: relaxed, GGA-PBE.

Cell lengths 4.950, 5.033, 8.804 Å; angles 75.95, 87.70, 81.64 degrees
Space group P1 (No. 1)
Asymmetric unit:
Li 0.000 0.000 0.000 (multiplicity 1)
Li 0.011 0.010 0.325 (multiplicity 1)
Li 0.252 0.499 0.918 (multiplicity 1)
Li 0.484 0.013 0.503 (multiplicity 1)
Li 0.505 0.004 0.834 (multiplicity 1)
Li 0.756 0.487 0.419 (multiplicity 1)
Os 0.208 0.514 0.595 (multiplicity 1)
Os 0.285 0.503 0.242 (multiplicity 1)
Os 0.714 0.495 0.095 (multiplicity 1)
Os 0.795 0.501 0.732 (multiplicity 1)
O 0.096 0.285 0.125 (multiplicity 1)
O 0.133 0.244 0.798 (multiplicity 1)
O 0.143 0.284 0.445 (multiplicity 1)
O 0.355 0.726 0.396 (multiplicity 1)
O 0.374 0.758 0.040 (multiplicity 1)
O 0.427 0.725 0.701 (multiplicity 1)
O 0.620 0.273 0.628 (multiplicity 1)
O 0.632 0.270 0.957 (multiplicity 1)
O 0.633 0.237 0.299 (multiplicity 1)
O 0.857 0.715 0.892 (multiplicity 1)
O 0.908 0.715 0.216 (multiplicity 1)

Results
E = -6.601 eV per atom

***

(5)
LiPOsO: relaxed, GGA-PBE.

Cell lengths 3.961, 4.434, 5.823 Å; angles 90.00, 90.00, 90.00 degrees
Space group Pmc2_1 (No. 26)
Asymmetric unit:
Li 0.000 0.231 0.000 (multiplicity 2)
P 0.500 0.141 0.684 (multiplicity 2)
Os 0.500 0.332 0.330 (multiplicity 2)
O 0.000 0.415 0.304 (multiplicity 2)

Results
E = -6.509 eV per atom

***

(6)
LiPOsO: relaxed, GGA-PBE.

Cell lengths 3.912, 3.912, 7.019 Å; angles 90.00, 90.00, 90.00 degrees
Space group P4/nmm (No. 129, origin choice 2)
Asymmetric unit:
Li 0.250 0.250 0.051 (multiplicity 2)
P 0.250 0.250 0.678 (multiplicity 2)
Os 0.250 0.750 0.500 (multiplicity 2)
O 0.250 0.750 0.000 (multiplicity 2)

Results
E = -6.237 eV per atom

***

(7)
LiPOsO: relaxed, GGA-PBE.

Cell lengths 3.318, 3.318, 8.495 Å; angles 90.00, 90.00, 90.00 degrees
Space group P4/nmm (No. 129, origin choice 2)
Asymmetric unit:
Li 0.250 0.750 0.000 (multiplicity 2)
P 0.250 0.250 0.212 (multiplicity 2)
Os 0.250 0.250 0.663 (multiplicity 2)
O 0.250 0.750 0.500 (multiplicity 2)

Results
E = -5.924 eV per atom

***

(8)
LiPOsO: relaxed, GGA-PBE.

Cell lengths 2.998, 6.249, 5.666 Å; angles 90.00, 90.00, 90.00 degrees
Space group Pmc2_1 (No. 26)
Asymmetric unit:
Li 0.000 0.104 0.000 (multiplicity 2)
P 0.000 0.292 0.454 (multiplicity 2)
Os 0.500 0.498 0.201 (multiplicity 2)
O 0.500 0.262 0.947 (multiplicity 2)

Results
E = -6.622 eV per atom

***

(9)
LiOsPb2O6: relaxed, GGA-PBE.

Cell lengths 5.2653, 5.2653, 11.6557 Å; angles 90.00, 90.00, 120.00 degrees
Space group P-31c (No. 163)
Asymmetric unit:
Li 0.3333 0.6667 0.2500 (multiplicity 2)
Os 0.0000 0.0000 0.2500 (multiplicity 2)
Pb 0.3333 0.6667 0.5603 (multiplicity 4)
O 0.0265 0.3086 0.3432 (multiplicity 12)

Results
E = -6.173 eV per atom

***

(10)
Li4OsPdO6: relaxed, GGA-PBE.

Cell lengths 5.145, 8.959, 5.053 Å; angles 90.00, 109.39, 90.00 degrees
Space group C2 (No. 5)
Asymmetric unit:
Li 0.000 0.000 0.000 (multiplicity 2)
Li 0.000 0.155 0.500 (multiplicity 2)
Li 0.000 0.507 0.500 (multiplicity 2)
Li 0.000 0.836 0.500 (multiplicity 2)
Os 0.000 0.335 0.000 (multiplicity 2)
Pd 0.000 0.667 0.000 (multiplicity 2)
O 0.235 0.332 0.761 (multiplicity 4)
O 0.242 0.490 0.243 (multiplicity 4)
O 0.243 0.176 0.236 (multiplicity 4)

Results
E = -5.845 eV per atom

***

(11)
Li4PrOsO6: relaxed, GGA-PBE.

Cell lengths 5.417, 9.623, 5.231 Å; angles 90.00, 108.41, 90.00 degrees
Space group C2 (No. 5)
Asymmetric unit:
Li 0.000 0.000 0.000 (multiplicity 2)
Li 0.000 0.136 0.500 (multiplicity 2)
Li 0.000 0.331 0.000 (multiplicity 2)
Li 0.000 0.607 0.000 (multiplicity 2)
Pr 0.000 0.801 0.500 (multiplicity 2)
Os 0.000 0.471 0.500 (multiplicity 2)
O 0.205 0.322 0.744 (multiplicity 4)
O 0.228 0.481 0.265 (multiplicity 4)
O 0.232 0.613 0.741 (multiplicity 4)

Results
E = -6.366 eV per atom

***

(12)
Li4OsPtO6: relaxed, GGA-PBE.

Cell lengths 5.190, 8.896, 5.077 Å; angles 90.00, 110.02, 90.00 degrees
Space group C2 (No. 5)
Asymmetric unit:
Li 0.000 0.000 0.000 (multiplicity 2)
Li 0.000 0.160 0.500 (multiplicity 2)
Li 0.000 0.320 0.000 (multiplicity 2)
Li 0.000 0.658 0.000 (multiplicity 2)
Os 0.000 0.826 0.500 (multiplicity 2)
Pt 0.000 0.493 0.500 (multiplicity 2)
O 0.240 0.662 0.743 (multiplicity 4)
O 0.247 0.830 0.262 (multiplicity 4)
O 0.248 0.985 0.736 (multiplicity 4)

Results
E = -5.897 eV per atom

***

(13)
LiOsSO: relaxed, GGA-PBE.

Cell lengths 3.463, 3.463, 7.905 Å; angles 90.00, 90.00, 90.00 degrees
Space group P4/nmm (No. 129, origin choice 2)
Asymmetric unit:
Li 0.250 0.750 0.000 (multiplicity 2)
Os 0.250 0.250 0.336 (multiplicity 2)
S 0.250 0.250 0.790 (multiplicity 2)
O 0.250 0.750 0.500 (multiplicity 2)

Results
E = -5.599 eV per atom

***

(14)
LiOsSO: relaxed, GGA-PBE.

Cell lengths 5.308, 4.822, 9.047 Å; angles 90.00, 105.38, 90.00 degrees
Space group P2_1 (No. 4)
Asymmetric unit:
Li 0.069 0.000 0.314 (multiplicity 2)
Li 0.225 0.697 0.980 (multiplicity 2)
Os 0.135 0.028 0.656 (multiplicity 2)
Os 0.435 0.675 0.651 (multiplicity 2)
S 0.163 0.404 0.209 (multiplicity 2)
S 0.382 0.348 0.839 (multiplicity 2)
O 0.123 0.406 0.542 (multiplicity 2)
O 0.388 0.911 0.450 (multiplicity 2)

Results
E = -6.187 eV per atom

***

(15)
LiOsSO: relaxed, GGA-PBE.

Cell lengths 5.630, 6.420, 5.427 Å; angles 90.00, 90.00, 90.00 degrees
Space group Pca2_1 (No. 29)
Asymmetric unit:
Li 0.136 0.027 0.000 (multiplicity 4)
Os 0.249 0.608 0.918 (multiplicity 4)
S 0.100 0.335 0.665 (multiplicity 4)
O 0.129 0.841 0.670 (multiplicity 4)

Results
E = -6.312 eV per atom

***

(16)
LiOsSO: relaxed, GGA-PBE.

Cell lengths 5.853, 6.160, 5.811 Å; angles 90.00, 111.83, 90.00 degrees
Space group P2_1/c (No. 14)
Asymmetric unit:
Li 0.250 0.207 0.054 (multiplicity 4)
Os 0.272 0.617 0.238 (multiplicity 4)
S 0.101 0.563 0.816 (multiplicity 4)
O 0.493 0.161 0.857 (multiplicity 4)

Results
E = -6.128 eV per atom

***

(17)
LiOsSO: relaxed, GGA-PBE.

Cell lengths 3.027, 7.160, 4.997 Å; angles 90.00, 90.00, 90.00 degrees
Space group Pmc2_1 (No. 26)
Asymmetric unit:
Li 0.000 0.159 0.000 (multiplicity 2)
Os 0.500 0.434 0.443 (multiplicity 2)
S 0.000 0.192 0.519 (multiplicity 2)
O 0.500 0.308 0.061 (multiplicity 2)

Results
E = -6.265 eV per atom

***

(18)
Li2ScOsO6: relaxed, GGA-PBE.

Cell lengths 5.311, 5.311, 7.778 Å; angles 90.00, 90.00, 90.00 degrees
Space group I4/m (No. 87)
Asymmetric unit:
Li 0.000 0.500 0.250 (multiplicity 4)
Sc 0.000 0.000 0.000 (multiplicity 2)
Os 0.000 0.000 0.500 (multiplicity 2)
O 0.000 0.000 0.260 (multiplicity 4)
O 0.156 0.681 0.500 (multiplicity 8)

Results
E = -6.964 eV per atom

***

(19)
Li4ScOsO6: relaxed, GGA-PBE.

Cell lengths 5.176, 8.949, 5.153 Å; angles 90.00, 109.67, 90.00 degrees
Space group C2 (No. 5)
Asymmetric unit:
Li 0.000 0.000 0.000 (multiplicity 2)
Li 0.000 0.157 0.500 (multiplicity 2)
Li 0.000 0.317 0.000 (multiplicity 2)
Li 0.000 0.651 0.000 (multiplicity 2)
Sc 0.000 0.824 0.500 (multiplicity 2)
Os 0.000 0.490 0.500 (multiplicity 2)
O 0.234 0.650 0.739 (multiplicity 4)
O 0.237 0.488 0.266 (multiplicity 4)
O 0.241 0.334 0.738 (multiplicity 4)

Results
E = -6.641 eV per atom